No. 1
Computed, not measured: an optimized crystal structure of AcTbPm5Ho2 at the PBE level of DFT.

Density in Mg/m³: 7.47
ΔE_f in meV per atom: 145
M_tot in μB/cell: 0.00

Lattice parameters (Å, degrees): 12.4821 12.4821 9.4662 90.00 90.00 154.25
With the nearest neighbours (Å) after each atom.
Element x y z (fractional)
Ac (0.1022, 0.8978, 0.5000)  5 Pm 3.45-3.75
Ac (0.8978, 0.1022, 0.0000)  5 Pm 3.45-3.75
Tb (0.2621, 0.7379, 0.8905)  4 Pm 3.12-3.43
Tb (0.7379, 0.2621, 0.3905)  4 Pm 3.12-3.43
Pm (0.0245, 0.9755, 0.1737)  3 Pm 3.29-3.57, 2 Ac 3.49-3.62, 2 Ho 3.52
Pm (0.1053, 0.8947, 0.8956)  4 Pm 3.29-3.63, 4 Ho 3.51-3.64
Pm (0.1900, 0.8100, 0.2026)  3 Ho 3.36-3.41, 3 Tb 3.43-3.50, 4 Pm 3.49-3.65, 1 Ac 3.54
Pm (0.2415, 0.7585, 0.5647)  3 Tb 3.12-3.23, 1 Ac 3.45, 2 Pm 3.49
Pm (0.4907, 0.5093, 0.3933)  2 Ho 3.44-3.79, 4 Pm 3.57-3.63
Pm (0.5093, 0.4907, 0.8933)  2 Ho 3.44-3.79, 4 Pm 3.57-3.63
Pm (0.7585, 0.2415, 0.0647)  3 Tb 3.12-3.23, 1 Ac 3.45, 2 Pm 3.49
Pm (0.8100, 0.1900, 0.7026)  3 Ho 3.36-3.41, 3 Tb 3.43-3.50, 4 Pm 3.49-3.65, 1 Ac 3.54
Pm (0.8947, 0.1053, 0.3956)  4 Pm 3.29-3.63, 4 Ho 3.51-3.64
Pm (0.9755, 0.0245, 0.6737)  3 Pm 3.29-3.57, 2 Ac 3.49-3.62, 2 Ho 3.52
Ho (0.3267, 0.6733, 0.2509)  6 Pm 3.36-3.69, 1 Tb 3.76
Ho (0.3876, 0.6124, 0.6425)  9 Pm 3.41-3.79
Ho (0.6124, 0.3876, 0.1425)  9 Pm 3.41-3.79
Ho (0.6733, 0.3267, 0.7509)  6 Pm 3.36-3.69, 1 Tb 3.76


No. 2
Computed, not measured: an optimized crystal structure of HoPuPt2 at the PBE level of DFT.

Density in Mg/m³: 14.85
ΔE_f in meV per atom: -1040
M_tot in μB/cell: 5.47

Lattice parameters (Å, degrees): 4.3647 5.7098 5.7098 38.91 90.00 90.00
With the nearest neighbours (Å) after each atom.
Element x y z (fractional)
Ho (0.0000, 0.0000, 0.0000)  7 Pt 2.91-3.12
Pu (0.5000, 0.2773, 0.2773)  7 Pt 2.92-3.11
Pt (0.0000, 0.7298, 0.7298)  3 Ho 2.91-3.12, 2 Pt 2.93, 4 Pu 2.94
Pt (0.5000, 0.5488, 0.5488)  3 Pu 2.92-3.11, 2 Pt 2.93, 4 Ho 2.94